# 1
# Hg3SeF3

Crystalline Hg3SeF3 at its relaxed geometry (GGA-PBE, the Alexandria database).

Output
volume = 144 Å³/f.u.
total magnetic moment = 0.00 Bohr magnetons per cell
E_tot = -2.387 eV per atom

extended XYZ file:
```
14
Lattice="3.601 2.079 6.397 -3.601 2.079 6.397 0.000 -4.159 6.397" Properties=species:S:1:pos:R:3 pbc="T T T"
Hg -1.344 -2.034 7.994
Hg -2.433 0.147 11.197
Hg -1.090 2.181 7.994
Hg 1.090 -2.181 11.197
Hg 2.433 -0.147 7.994
Hg 1.344 2.034 11.197
Se 0.000 0.000 6.293
Se 0.000 0.000 12.898
F -2.468 0.492 8.768
F -1.660 -1.891 10.423
F 0.808 -2.384 8.768
F -0.808 2.384 10.423
F 1.660 1.891 8.768
F 2.468 -0.492 10.423
```



# 2
# Hg4SeF6

Crystalline Hg4SeF6 at its relaxed geometry (GGA-PBE, the Alexandria database).

Output
volume = 195 Å³/f.u.
total magnetic moment = 0.00 Bohr magnetons per cell
E_tot = -2.660 eV per atom

extended XYZ file:
```
22
Lattice="8.221 0.000 0.000 -4.111 7.120 0.000 0.000 0.000 6.677" Properties=species:S:1:pos:R:3 pbc="T T T"
Hg 0.000 2.449 0.000
Hg -1.990 5.895 0.000
Hg 0.000 4.747 3.556
Hg 2.121 1.225 3.339
Hg 1.990 5.895 0.000
Hg 4.111 2.373 0.218
Hg 6.100 1.225 3.339
Hg 4.111 4.671 3.339
Se 0.000 4.747 1.057
Se 4.111 2.373 4.396
F -1.527 3.865 5.003
F 0.000 1.709 2.668
F -2.631 6.265 2.668
F 1.480 0.854 6.007
F 1.527 3.865 5.003
F 0.000 6.510 5.003
F 4.111 0.610 1.664
F 2.583 3.255 1.664
F 2.631 6.265 2.668
F 6.741 0.854 6.007
F 4.111 5.411 6.007
F 5.638 3.255 1.664
```



# 3
# HgSeF2

Crystalline HgSeF2 at its relaxed geometry (GGA-PBE, the Alexandria database).

Output
volume = 73 Å³/f.u.
total magnetic moment = 4.00 Bohr magnetons per cell
excess energy over the best structure of this formula in the dataset = 424 meV per atom

extended XYZ file:
```
8
Lattice="-3.583 3.583 2.852 3.583 -3.583 2.852 3.583 3.583 -2.852" Properties=species:S:1:pos:R:3 pbc="T T T"
Hg 0.000 0.000 0.000
Hg 0.000 3.583 1.426
Se 3.583 0.000 1.426
Se 0.000 0.000 2.852
F 5.374 1.361 -0.713
F 1.361 1.791 0.713
F -1.791 2.222 2.139
F 2.222 1.791 3.565
```



# 4
# HgSeF2

Crystalline HgSeF2 at its relaxed geometry (GGA-PBE, the Alexandria database).

Output
volume = 65 Å³/f.u.
total magnetic moment = 0.00 Bohr magnetons per cell
excess energy over the best structure of this formula in the dataset = 419 meV per atom

extended XYZ file:
```
4
Lattice="1.462 0.844 8.768 -1.462 0.844 8.768 0.000 -1.688 8.768" Properties=species:S:1:pos:R:3 pbc="T T T"
Hg 0.000 0.000 0.000
Se 0.000 0.000 13.152
F 0.000 0.000 2.596
F 0.000 0.000 23.707
```



# 5
# HgSeF

Crystalline HgSeF at its relaxed geometry (GGA-PBE, the Alexandria database).

Output
volume = 75 Å³/f.u.
total magnetic moment = 0.00 Bohr magnetons per cell
excess energy over the best structure of this formula in the dataset = 0 meV per atom

extended XYZ file:
```
6
Lattice="4.401 0.000 0.000 -1.570 4.161 0.000 -1.201 -0.980 8.234" Properties=species:S:1:pos:R:3 pbc="T T T"
Hg 0.000 0.000 0.000
Hg -0.011 2.522 4.961
Se 0.169 0.216 3.689
Se 1.393 0.987 1.784
F -0.019 2.085 7.324
F 1.928 3.428 5.922
```



# 6
# Hg4Se2F3

Crystalline Hg4Se2F3 at its relaxed geometry (GGA-PBE, the Alexandria database).

Output
volume = 216 Å³/f.u.
total magnetic moment = 0.00 Bohr magnetons per cell
E_tot = -2.323 eV per atom

extended XYZ file:
```
18
Lattice="5.576 -5.300 0.000 5.576 5.300 0.000 -2.561 0.000 7.316" Properties=species:S:1:pos:R:3 pbc="T T T"
Hg 2.322 3.635 6.611
Hg 4.989 3.635 4.362
Hg 2.631 0.274 3.700
Hg 3.911 -0.274 0.042
Hg 4.680 0.274 7.274
Hg 5.960 -0.274 3.616
Hg 3.602 -3.635 2.953
Hg 6.269 -3.635 0.705
Se 3.130 1.688 1.571
Se 1.849 -1.688 5.229
Se 6.742 1.688 2.086
Se 5.461 -1.688 5.744
F 0.046 0.923 3.395
F -1.234 -0.923 7.053
F 3.655 1.718 5.487
F 4.936 -1.718 1.829
F 9.825 0.923 0.263
F 8.545 -0.923 3.921
```